# 1
VASP calculation (PBE) on PbBr2 after structural relaxation.

The total magnetic moment comes out at 0.00 μB/f.u. Its space-group type is Pa-3 (205). The value obtained for the electronic total energy is -3.244 eV/atom. Its formation energy without anion corrections is -0.892 eV per atom.

Lattice parameters (Å, degrees): 7.516 7.516 7.516 90.00 90.00 90.00
Positions (direct):
Pb 0.000 0.000 0.000
Pb 0.000 0.500 0.500
Pb 0.500 0.000 0.500
Pb 0.500 0.500 0.000
Br 0.155 0.655 0.845
Br 0.155 0.845 0.345
Br 0.345 0.155 0.845
Br 0.345 0.345 0.345
Br 0.655 0.655 0.655
Br 0.655 0.845 0.155
Br 0.845 0.155 0.655
Br 0.845 0.345 0.155


# 2
VASP calculation (PBE) on Sm2Cd3Hg2 after structural relaxation.

The total magnetic moment comes out at 0.00 μB/f.u. Its space-group type is C2/m (12). Its formation enthalpy at 0 K is -185 kJ/mol of formula units. The value obtained for the electronic total energy is -2.100 eV/atom.

Lattice parameters (Å, degrees): 11.003 4.575 7.227 90.00 97.97 90.00
Positions (direct):
Sm 0.110 0.000 0.330
Sm 0.390 0.500 0.670
Sm 0.610 0.500 0.330
Sm 0.890 0.000 0.670
Cd 0.000 0.500 0.000
Cd 0.206 0.000 0.873
Cd 0.294 0.500 0.127
Cd 0.500 0.000 0.000
Cd 0.706 0.500 0.873
Cd 0.794 0.000 0.127
Hg 0.109 0.500 0.645
Hg 0.391 0.000 0.355
Hg 0.609 0.000 0.645
Hg 0.891 0.500 0.355


# 3
VASP calculation (PBE) on PmDyTmAl after structural relaxation.

The total magnetic moment comes out at 0.00 μB/f.u. Its space-group type is F-43m (216). The offset from the most stable computed form is 0.51 eV/f.u. Its formation enthalpy at 0 K is -27 kJ/mol of formula units. The value obtained for the electronic total energy is -4.462 eV/atom.

Lattice parameters (Å, degrees): 7.588 7.588 7.588 90.00 90.00 90.00
Positions (direct):
Pm 0.000 0.000 0.000
Pm 0.000 0.500 0.500
Pm 0.500 0.000 0.500
Pm 0.500 0.500 0.000
Dy 0.000 0.000 0.500
Dy 0.000 0.500 0.000
Dy 0.500 0.000 0.000
Dy 0.500 0.500 0.500
Tm 0.250 0.250 0.250
Tm 0.250 0.750 0.750
Tm 0.750 0.250 0.750
Tm 0.750 0.750 0.250
Al 0.250 0.250 0.750
Al 0.250 0.750 0.250
Al 0.750 0.250 0.250
Al 0.750 0.750 0.750


# 4
VASP calculation (PBE) on TmTh3In4 after structural relaxation.

The total magnetic moment comes out at 0.08 μB/f.u. Its space-group type is P4/mmm (123). The offset from the most stable computed form is 0.00 eV/f.u. Its formation enthalpy at 0 K is -247 kJ/mol of formula units. The value obtained for the electronic total energy is -5.031 eV/atom.

Lattice parameters (Å, degrees): 3.520 3.520 18.013 90.00 90.00 90.00
Positions (direct):
Tm 0.000 0.000 0.000
Th 0.000 0.000 0.243
Th 0.000 0.000 0.500
Th 0.000 0.000 0.757
In 0.500 0.500 0.115
In 0.500 0.500 0.372
In 0.500 0.500 0.628
In 0.500 0.500 0.885


# 5
VASP calculation (PBE) on Th2Si4OsPt3 after structural relaxation.

The total magnetic moment comes out at 0.00 μB/f.u. Its space-group type is P-4m2 (115). The value obtained for the electronic total energy is -7.646 eV/atom. Its formation energy without anion corrections is -1.057 eV per atom.

Lattice parameters (Å, degrees): 4.214 4.214 10.028 90.00 90.00 90.00
Positions (direct):
Th 0.000 0.500 0.248
Th 0.500 0.000 0.752
Si 0.000 0.000 0.500
Si 0.000 0.500 0.868
Si 0.500 0.000 0.132
Si 0.500 0.500 0.500
Os 0.500 0.500 0.000
Pt 0.000 0.000 0.000
Pt 0.000 0.500 0.622
Pt 0.500 0.000 0.378


# 6
VASP calculation (PBE) on Nd6Si3S14 after structural relaxation.

The total magnetic moment comes out at 0.00 μB/f.u. Its space-group type is P3 (143). The value obtained for the electronic total energy is -6.004 eV/atom. Its formation energy without anion corrections is -1.541 eV per atom.

Lattice parameters (Å, degrees): 10.251 10.251 5.731 90.00 90.00 120.00
Positions (direct):
Nd 0.027 0.570 0.000
Nd 0.311 0.099 0.510
Nd 0.430 0.457 0.000
Nd 0.543 0.973 0.000
Nd 0.788 0.689 0.510
Nd 0.901 0.212 0.510
Si 0.000 0.000 0.924
Si 0.333 0.667 0.414
Si 0.667 0.333 0.256
S 0.000 0.000 0.291
S 0.075 0.856 0.778
S 0.144 0.219 0.778
S 0.188 0.447 0.270
S 0.259 0.812 0.270
S 0.333 0.667 0.782
S 0.422 0.173 0.027
S 0.498 0.418 0.512
S 0.553 0.741 0.270
S 0.582 0.080 0.512
S 0.751 0.578 0.027
S 0.781 0.925 0.778
S 0.827 0.249 0.027
S 0.920 0.502 0.512


- electronic total energy of number 3 (PmDyTmAl)?
  -4.462 eV/atom


- What is the total magnetic moment in the first record?
  0.00 μB/f.u.


- Which value of electronic total energy does entry 6 give?
  -6.004 eV/atom